No. 1
The following is a DFT calculation (PBE) of a relaxed structure of CaHoTh.

Cell lengths 4.9423, 4.9423, 8.7621 Å; angles 90.00, 90.00, 90.00 degrees
Fractional positions:
Th 0.5000 0.0000 0.2821
Ho 0.5000 0.5000 0.0000
Ca 0.0000 0.5000 0.3154
Ho 0.0000 0.0000 0.0000
Th 0.0000 0.5000 0.7179
Ca 0.5000 0.0000 0.6846

## Properties
distance to the lowest polymorph of the same formula: 36.9 kJ per mole of atoms
magnetization: 0.00 μB/atom
final energy: -25.1 eV per cell
formation enthalpy at 0 K: 484 meV per atom


No. 2
The following is a DFT calculation (PBE) of a relaxed structure of Er2AgS3.

Cell lengths 3.8951, 5.3888, 7.1055 Å; angles 112.28, 90.00, 90.00 degrees
Fractional positions:
Ag 0.0000 0.0000 0.0000
S 0.5000 0.8440 0.6880
Er 0.5000 0.6438 0.2875
Er 0.5000 0.3562 0.7125
S 0.0000 0.5000 0.0000
S 0.5000 0.1560 0.3120

## Properties
magnetization: 0.00 μB/atom
final energy: -32.3 eV per cell
raw formation energy: -1.327 eV/atom


> Which formula does entry 1 have?

CaHoTh


> What is the formula in the first record?

CaHoTh